Entry 1:
# PrErPt10

A geometry-optimized PrErPt10 structure (PBE, the Alexandria database).

Values from the calculation:
ρ   16.8 g cm⁻³

Lattice parameters (Å, degrees): 4.4540 5.3999 9.3028 90.00 90.00 90.00
With the nearest neighbours (Å) after each atom.
Fractional coordinates of all 12 atoms:
Pr  0.0000  0.0000  0.0000  18 Pt 3.14-3.51
Er  0.0000  0.5000  0.5000  6 Pt 3.05-3.09
Pt  0.0000  0.0000  0.3374  6 Pt 2.69-2.72
Pt  0.0000  0.0000  0.6626  6 Pt 2.69-2.72
Pt  0.0000  0.5000  0.1725  6 Pt 2.71-2.75
Pt  0.0000  0.5000  0.8275  6 Pt 2.71-2.75
Pt  0.5000  0.0000  0.5000  8 Pt 2.67-2.69
Pt  0.5000  0.2512  0.2525  8 Pt 2.67-2.72
Pt  0.5000  0.2512  0.7475  8 Pt 2.67-2.72
Pt  0.5000  0.5000  0.0000  8 Pt 2.71-2.75
Pt  0.5000  0.7488  0.2525  8 Pt 2.67-2.72
Pt  0.5000  0.7488  0.7475  8 Pt 2.67-2.72



Entry 2:
# Tb6TlRu5

A geometry-optimized Tb6TlRu5 structure (PBE, the Alexandria database).

Values from the calculation:
ρ   10.9 g cm⁻³

Lattice parameters (Å, degrees): 7.7385 7.7385 7.0097 90.00 90.00 143.06
With the nearest neighbours (Å) after each atom.
Fractional coordinates of all 12 atoms:
Tb  0.0000  0.0000  0.2313  6 Ru 2.93-3.06, 2 Tl 3.09, 1 Tb 3.24
Tb  0.0000  0.0000  0.7687  6 Ru 2.93-3.06, 2 Tl 3.09, 1 Tb 3.24
Tb  0.3265  0.6735  0.2442  7 Ru 2.91-3.07, 1 Tl 3.11
Tb  0.3265  0.6735  0.7558  7 Ru 2.91-3.07, 1 Tl 3.11
Tb  0.6735  0.3265  0.2442  7 Ru 2.91-3.07, 1 Tl 3.11
Tb  0.6735  0.3265  0.7558  7 Ru 2.91-3.07, 1 Tl 3.11
Tl  0.5000  0.5000  0.5000  8 Tb 3.09-3.11, 4 Ru 3.44
Ru  0.1641  0.8359  0.5000  8 Tb 2.98-3.06
Ru  0.1666  0.8334  0.0000  8 Tb 2.91-2.99
Ru  0.5000  0.5000  0.0000  8 Tb 2.94-3.07
Ru  0.8334  0.1666  0.0000  8 Tb 2.91-2.99
Ru  0.8359  0.1641  0.5000  8 Tb 2.98-3.06



Calculated M_tot in order - 0.0, 0.0 μB per formula unit
Calculated ΔH_f (0 K) in order - -0.69, -0.31 eV/atom